(1)
Rb6SeBr2O, optimized geometry, DFT PBE; space group = No. 59; electronic total energy = -2.994 eV/atom; E_form (uncorrected) = -12.35 eV per formula unit
1.0
8.0923 0.0000 0.0000
0.0000 11.9640 0.0000
0.0000 0.0000 9.2356
Rb Se Br O
12 2 4 2
Direct
0.0145 0.2500 0.0260
0.0158 0.7500 0.3900
0.2500 0.0172 0.7963
0.2500 0.4828 0.7963
0.4842 0.7500 0.3900
0.4855 0.2500 0.0260
0.5145 0.7500 0.9740
0.5158 0.2500 0.6100
0.7500 0.5172 0.2037
0.7500 0.9828 0.2037
0.9842 0.2500 0.6100
0.9855 0.7500 0.9740
0.2500 0.7500 0.6880
0.7500 0.2500 0.3120
0.2500 0.5502 0.1635
0.2500 0.9498 0.1635
0.7500 0.0502 0.8365
0.7500 0.4498 0.8365
0.2500 0.2500 0.7965
0.7500 0.7500 0.2035

=====

(2)
RbSi2BrO, optimized geometry, DFT PBE; space group = No. 123; electronic total energy = -3.878 eV/atom; E_form (uncorrected) = -0.94 eV per formula unit
1.0
4.3281 0.0000 0.0000
0.0000 4.3281 0.0000
0.0000 0.0000 6.7489
Rb Si Br O
1 2 1 1
Direct
0.0000 0.0000 0.0000
0.0000 0.5000 0.5000
0.5000 0.0000 0.5000
0.5000 0.5000 0.0000
0.0000 0.0000 0.5000

=====

(3)
Rb2SnBr6O, optimized geometry, DFT PBE; space group = No. 139; electronic total energy = -2.905 eV/atom; E_form (uncorrected) = -8.12 eV per formula unit
1.0
-3.8185 3.8185 5.5705
3.8185 -3.8185 5.5705
3.8185 3.8185 -5.5705
Rb Sn Br O
2 1 6 1
Direct
0.2500 0.7500 0.5000
0.7500 0.2500 0.5000
0.0000 0.0000 0.0000
0.2386 0.2386 0.0000
0.2491 0.2491 0.4982
0.2491 0.7509 0.0000
0.7509 0.2491 0.0000
0.7509 0.7509 0.5018
0.7614 0.7614 0.0000
0.5000 0.5000 0.0000

=====

(4)
RbSr2BrO, optimized geometry, DFT PBE; space group = No. 123; electronic total energy = -3.603 eV/atom; E_form (uncorrected) = -7.05 eV per formula unit
1.0
4.9847 0.0000 0.0000
0.0000 4.9847 0.0000
0.0000 0.0000 8.1713
Rb Sr Br O
1 2 1 1
Direct
0.0000 0.0000 0.0000
0.0000 0.5000 0.5000
0.5000 0.0000 0.5000
0.5000 0.5000 0.0000
0.0000 0.0000 0.5000

=====

(5)
Rb2SrBr6O, optimized geometry, DFT PBE; space group = No. 139; electronic total energy = -2.878 eV/atom; E_form (uncorrected) = -10.17 eV per formula unit
1.0
-3.7294 3.7294 6.6261
3.7294 -3.7294 6.6261
3.7294 3.7294 -6.6261
Rb Sr Br O
2 1 6 1
Direct
0.2500 0.7500 0.5000
0.7500 0.2500 0.5000
0.0000 0.0000 0.0000
0.2236 0.2236 0.0000
0.2861 0.2861 0.5722
0.2861 0.7139 0.0000
0.7139 0.2861 0.0000
0.7139 0.7139 0.4278
0.7764 0.7764 0.0000
0.5000 0.5000 0.0000

=====

(6)
RbSrBr2O6, optimized geometry, DFT PBE; space group = No. 15; electronic total energy = -4.322 eV/atom; E_form (uncorrected) = -7.48 eV per formula unit
1.0
4.4031 -5.7517 0.0000
4.4031 5.7517 0.0000
-2.0218 0.0000 7.4760
Rb Sr Br O
2 2 4 12
Direct
0.1947 0.8053 0.7500
0.8053 0.1947 0.2500
0.4316 0.5684 0.2500
0.5684 0.4316 0.7500
0.0704 0.2924 0.8132
0.2924 0.0704 0.3132
0.7076 0.9296 0.6868
0.9296 0.7076 0.1868
0.0728 0.5923 0.2977
0.1841 0.1869 0.6650
0.1869 0.1841 0.1650
0.2898 0.4999 0.9147
0.4077 0.9272 0.2023
0.4999 0.2898 0.4147
0.5001 0.7102 0.5853
0.5923 0.0728 0.7977
0.7102 0.5001 0.0853
0.8131 0.8159 0.8350
0.8159 0.8131 0.3350
0.9272 0.4077 0.7023

=====

(7)
RbSrBrO, optimized geometry, DFT PBE; space group = No. 160; electronic total energy = -4.240 eV/atom; E_form (uncorrected) = -7.68 eV per formula unit
1.0
1.9614 1.1324 8.0815
-1.9614 1.1324 8.0815
0.0000 -2.2648 8.0815
Rb Sr Br O
1 1 1 1
Direct
0.0000 0.0000 0.0000
0.8673 0.8673 0.8673
0.4359 0.4359 0.4359
0.5770 0.5770 0.5770

=====

(8)
Rb2TaBr6O, optimized geometry, DFT PBE; space group = No. 139; electronic total energy = -3.785 eV/atom; E_form (uncorrected) = -9.07 eV per formula unit
1.0
-3.8166 3.8166 5.7277
3.8166 -3.8166 5.7277
3.8166 3.8166 -5.7277
Rb Ta Br O
2 1 6 1
Direct
0.2500 0.7500 0.5000
0.7500 0.2500 0.5000
0.0000 0.0000 0.0000
0.2248 0.2248 0.0000
0.2374 0.2374 0.4749
0.2374 0.7626 0.0000
0.7626 0.2374 0.0000
0.7626 0.7626 0.5251
0.7752 0.7752 0.0000
0.5000 0.5000 0.0000

=====

(9)
RbTaBrO2, optimized geometry, DFT PBE; space group = No. 123; electronic total energy = -3.914 eV/atom; E_form (uncorrected) = 4.84 eV per formula unit
1.0
4.8746 0.0000 0.0000
0.0000 4.8746 0.0000
0.0000 0.0000 4.7205
Rb Ta Br O
1 1 1 2
Direct
0.0000 0.0000 0.0000
0.5000 0.5000 0.0000
0.5000 0.5000 0.5000
0.0000 0.5000 0.5000
0.5000 0.0000 0.5000

=====

(10)
RbTcBrO2, optimized geometry, DFT PBE; space group = No. 123; electronic total energy = -3.258 eV/atom; E_form (uncorrected) = 6.63 eV per formula unit
1.0
4.3675 0.0000 0.0000
0.0000 4.3675 0.0000
0.0000 0.0000 7.2520
Rb Tc Br O
1 1 1 2
Direct
0.0000 0.0000 0.0000
0.0000 0.0000 0.5000
0.5000 0.5000 0.5000
0.0000 0.5000 0.0000
0.5000 0.0000 0.0000

=====

(11)
Rb5TcBr2O4, optimized geometry, DFT PBE; space group = No. 38; electronic total energy = -4.727 eV/atom; E_form (uncorrected) = -18.34 eV per formula unit
1.0
9.0963 0.0000 0.0000
0.0000 5.3657 3.5324
0.0000 -5.3657 3.5324
Rb Tc Br O
5 1 2 4
Direct
0.0000 0.0000 0.0000
0.3014 0.1882 0.5559
0.3014 0.5559 0.1882
0.6986 0.1882 0.5559
0.6986 0.5559 0.1882
0.5000 0.8921 0.8921
0.0000 0.4433 0.8254
0.0000 0.8254 0.4433
0.3376 0.0522 0.0522
0.5000 0.5914 0.8667
0.5000 0.8667 0.5914
0.6624 0.0522 0.0522

=====

(12)
Rb2TcBr6O, optimized geometry, DFT PBE; space group = No. 139; electronic total energy = -3.367 eV/atom; E_form (uncorrected) = -6.37 eV per formula unit
1.0
-3.5705 3.5705 5.8512
3.5705 -3.5705 5.8512
3.5705 3.5705 -5.8512
Rb Tc Br O
2 1 6 1
Direct
0.2500 0.7500 0.5000
0.7500 0.2500 0.5000
0.0000 0.0000 0.0000
0.2170 0.2170 0.0000
0.2558 0.2558 0.5117
0.2558 0.7442 0.0000
0.7442 0.2558 0.0000
0.7442 0.7442 0.4883
0.7830 0.7830 0.0000
0.5000 0.5000 0.0000